# CuTeH, relaxed, DFT GGA-PBE
# Total energy (Ha/atom): -0.1316
data_CuTeH
_chemical_formula_sum 'Cu2 Te2 H2'
_space_group_name_H-M_alt 'P -1'
_space_group_IT_number 2
_cell_length_a 3.273
_cell_length_b 4.014
_cell_length_c 10.263
_cell_angle_alpha 100.66
_cell_angle_beta 97.24
_cell_angle_gamma 90.49
loop_
_space_group_symop_operation_xyz
'x,y,z'
'-x,-y,-z'
loop_
_atom_site_label
_atom_site_fract_x
_atom_site_fract_y
_atom_site_fract_z
Cu1 0.240 0.238 0.474
Te1 0.173 0.658 0.307
H1 0.451 0.990 0.030

---

# CuTe2H, relaxed, DFT GGA-PBE
# Total energy (Ha/atom): -0.1133
data_CuTe2H
_chemical_formula_sum 'Cu4 Te8 H4'
_space_group_name_H-M_alt 'I -4 2 d'
_space_group_IT_number 122
_space_group_name_Hall 'I -4 2bw'
_cell_length_a 5.687
_cell_length_b 5.687
_cell_length_c 10.462
_cell_angle_alpha 90.00
_cell_angle_beta 90.00
_cell_angle_gamma 90.00
loop_
_atom_site_label
_atom_site_fract_x
_atom_site_fract_y
_atom_site_fract_z
Cu1 0.000 0.000 0.000
Te1 0.209 0.250 0.625
H1 0.000 0.000 0.500

---

Total magnetic moment values (in μB/atom) by entry order: 0.000 0.000.
Excess energy over the best structure of this formula in the dataset values (in eV per atom) by entry order: 0.000 0.217.